#one
In2CuCl8 (GGA-PBE, relaxed); space-group type = C2/m (12)
1.0
6.137 -4.745 0.000
6.137 4.745 0.000
-0.056 0.000 6.859
In Cu Cl
2 1 8
Cartesian
2.671 0.000 2.207
9.547 0.000 4.652
0.000 0.000 0.000
4.866 3.095 5.801
2.288 0.000 4.530
7.352 3.095 1.058
4.878 0.000 1.487
7.340 0.000 5.373
4.866 -3.095 5.801
9.930 0.000 2.329
7.352 -3.095 1.058



#two
In2CuCl8 (GGA-PBE, relaxed); space-group type = C2/m (12)
1.0
6.901 -3.720 0.000
6.901 3.720 0.000
-2.353 0.000 6.218
In Cu Cl
2 1 8
Cartesian
6.901 1.868 0.000
6.901 -1.868 0.000
-1.177 0.000 3.109
1.165 0.000 1.413
4.990 2.052 1.654
6.457 2.052 4.564
3.336 0.000 4.959
8.112 0.000 1.259
4.990 -2.052 1.654
6.457 -2.052 4.564
10.283 0.000 4.805



Which of them is most stable, and which least? Most stable: #two; least stable: #one.



#one
CuIrCl2 (GGA-PBE, relaxed); space-group type = F-43m (216); N(E_F) = 1.24 states/eV per atom
1.0
6.462 0.000 0.000
0.000 6.462 0.000
0.000 0.000 6.462
Cu Ir Cl
4 4 8
Cartesian
0.000 0.000 0.000
0.000 3.231 3.231
3.231 0.000 3.231
3.231 3.231 0.000
1.616 1.616 1.616
1.616 4.847 4.847
4.847 1.616 4.847
4.847 4.847 1.616
0.000 0.000 3.231
0.000 3.231 0.000
1.616 1.616 4.847
1.616 4.847 1.616
3.231 0.000 0.000
3.231 3.231 3.231
4.847 1.616 1.616
4.847 4.847 4.847



#two
CuIrCl2 (GGA-PBE, relaxed); space-group type = C2/m (12); N(E_F) = 0.62 states/eV per atom
1.0
6.145 0.000 0.000
0.000 7.614 0.000
-0.019 0.000 3.015
Cu Ir Cl
2 2 4
Cartesian
0.000 0.000 0.000
3.073 3.807 0.000
0.000 3.807 0.000
3.073 0.000 0.000
1.536 1.904 0.000
1.536 5.711 0.000
4.609 1.904 0.000
4.609 5.711 0.000



#three
CuIrCl2 (GGA-PBE, relaxed); space-group type = Pm (6); N(E_F) = 0.48 states/eV per atom
1.0
3.710 0.000 0.000
0.000 3.244 0.000
-1.560 0.000 7.191
Cu Ir Cl
1 1 2
Cartesian
0.000 0.000 0.000
0.295 1.622 6.416
0.223 0.000 4.743
2.061 1.622 1.536



Which of them is most stable, and which least? Most stable: #three; least stable: #one.



#one
Cu2IrCl (GGA-PBE, relaxed); space-group type = P4mm (99); N(E_F) = 1.11 states/eV per atom
1.0
3.050 0.000 0.000
0.000 3.050 0.000
0.000 0.000 6.469
Cu Ir Cl
2 1 1
Cartesian
0.000 0.000 0.000
1.525 1.525 1.385
0.000 0.000 2.686
1.525 1.525 4.941



#two
Cu2IrCl (GGA-PBE, relaxed); space-group type = Cmmm (65); N(E_F) = 1.13 states/eV per atom
1.0
5.176 0.000 0.000
0.000 7.853 0.000
0.000 0.000 2.799
Cu Ir Cl
4 2 2
Cartesian
1.294 1.963 0.000
1.294 5.890 0.000
3.882 1.963 0.000
3.882 5.890 0.000
0.000 0.000 1.400
2.588 3.927 1.400
0.000 3.927 1.400
2.588 0.000 1.400



#three
Cu2IrCl (GGA-PBE, relaxed); space-group type = I-42d (122); N(E_F) = 0.28 states/eV per atom
1.0
6.904 0.000 0.000
0.000 6.904 0.000
0.000 0.000 4.971
Cu Ir Cl
8 4 4
Cartesian
1.638 1.726 0.621
1.726 5.090 1.864
1.726 5.267 4.350
1.815 1.726 3.107
5.090 5.178 3.107
5.178 1.638 4.350
5.178 1.815 1.864
5.267 5.178 0.621
0.000 0.000 2.486
0.000 3.452 3.728
3.452 0.000 1.243
3.452 3.452 0.000
0.000 0.000 0.000
0.000 3.452 1.243
3.452 0.000 3.728
3.452 3.452 2.486



Which of them is most stable, and which least? Most stable: #one; least stable: #three.



#one
Cu2IrCl (GGA-PBE, relaxed); space-group type = C2/m (12); N(E_F) = 0.62 states/eV per atom
1.0
9.161 0.000 0.000
0.000 2.850 0.000
-1.506 0.000 4.417
Cu Ir Cl
4 2 2
Cartesian
1.863 0.000 1.182
1.211 1.425 3.235
6.444 1.425 1.182
5.791 0.000 3.235
-0.753 0.000 2.209
3.827 1.425 2.209
0.000 1.425 0.000
4.580 0.000 0.000



#two
Cu2IrCl (GGA-PBE, relaxed); space-group type = Pm (6); N(E_F) = 0.79 states/eV per atom
1.0
2.842 0.000 0.000
0.000 3.878 0.000
-1.402 0.000 5.650
Cu Ir Cl
2 1 1
Cartesian
0.000 0.000 0.000
0.035 1.939 1.496
0.027 1.939 4.840
0.030 0.000 2.984



#three
Cu2IrCl (GGA-PBE, relaxed); space-group type = Pmmm (47); N(E_F) = 0.54 states/eV per atom
1.0
2.882 0.000 0.000
0.000 4.429 0.000
0.000 0.000 4.437
Cu Ir Cl
2 1 1
Cartesian
0.000 0.000 0.000
1.441 0.000 2.219
0.000 2.214 2.219
1.441 2.214 0.000



#four
Cu2IrCl (GGA-PBE, relaxed); space-group type = P4/mmm (123); N(E_F) = 1.13 states/eV per atom
1.0
2.882 0.000 0.000
0.000 2.882 0.000
0.000 0.000 7.098
Cu Ir Cl
2 1 1
Cartesian
0.000 0.000 1.687
0.000 0.000 5.411
1.441 1.441 0.000
1.441 1.441 3.549



Which of them is most stable, and which least? Most stable: #four; least stable: #three.



#one
Cu2IrCl (GGA-PBE, relaxed); space-group type = P4/mmm (123); N(E_F) = 1.00 states/eV per atom
1.0
4.807 0.000 0.000
0.000 4.807 0.000
0.000 0.000 2.577
Cu Ir Cl
2 1 1
Cartesian
0.000 2.403 0.000
2.403 0.000 0.000
0.000 0.000 1.288
2.403 2.403 1.288



#two
Cu2IrCl (GGA-PBE, relaxed); space-group type = R3m (160); N(E_F) = 0.72 states/eV per atom
1.0
2.733 0.000 0.000
-1.366 2.367 0.000
0.000 0.000 28.950
Cu Ir Cl
6 3 3
Cartesian
0.000 0.000 0.000
0.000 0.000 7.660
0.000 1.578 19.300
0.000 1.578 26.960
1.366 0.789 9.650
1.366 0.789 17.310
0.000 0.000 15.204
0.000 1.578 5.554
1.366 0.789 24.855
0.000 0.000 21.239
0.000 1.578 11.589
1.366 0.789 1.939



#three
Cu2IrCl (GGA-PBE, relaxed); space-group type = P2/m (10); N(E_F) = 1.08 states/eV per atom
1.0
2.926 0.000 0.000
0.000 2.880 0.000
-0.010 0.000 7.177
Cu Ir Cl
2 1 1
Cartesian
0.000 0.000 1.645
2.916 0.000 5.532
1.463 1.440 0.000
-0.005 1.440 3.589



#four
Cu2IrCl (GGA-PBE, relaxed); space-group type = Fm-3m (225); N(E_F) = 1.18 states/eV per atom
1.0
6.177 0.000 0.000
0.000 6.177 0.000
0.000 0.000 6.177
Cu Ir Cl
8 4 4
Cartesian
1.544 1.544 1.544
1.544 1.544 4.632
1.544 4.632 1.544
1.544 4.632 4.632
4.632 1.544 1.544
4.632 1.544 4.632
4.632 4.632 1.544
4.632 4.632 4.632
0.000 0.000 0.000
0.000 3.088 3.088
3.088 0.000 3.088
3.088 3.088 0.000
0.000 0.000 3.088
0.000 3.088 0.000
3.088 0.000 0.000
3.088 3.088 3.088



Which of them is most stable, and which least? Most stable: #three; least stable: #four.



#one
Cu3IrCl (GGA-PBE, relaxed); space-group type = Pm-3m (221); N(E_F) = 0.72 states/eV per atom
1.0
4.285 0.000 0.000
0.000 4.285 0.000
0.000 0.000 4.285
Cu Ir Cl
3 1 1
Cartesian
0.000 0.000 2.143
0.000 2.143 0.000
2.143 0.000 0.000
2.143 2.143 2.143
0.000 0.000 0.000



#two
Cu3IrCl (GGA-PBE, relaxed); space-group type = Pm-3m (221); N(E_F) = 0.98 states/eV per atom
1.0
4.713 0.000 0.000
0.000 4.713 0.000
0.000 0.000 4.713
Cu Ir Cl
3 1 1
Cartesian
0.000 0.000 2.356
0.000 2.356 0.000
2.356 0.000 0.000
0.000 0.000 0.000
2.356 2.356 2.356



Which of them is most stable, and which least? Most stable: #two; least stable: #one.